(1)
# SmTl2InCl6

Crystalline SmTl2InCl6 at its relaxed geometry (PBE-GGA, the Open Quantum Materials Database). Values from VASP.

Summary:
Total DFT energy (no corrections) ... -3.736 eV/atom
Spin magnetization ... 0.00 μB/f.u.

The structure in Quantum ESPRESSO input format:
```
&SYSTEM
  ibrav = 0, nat = 10, ntyp = 4
/
ATOMIC_SPECIES
Sm 150.36 Sm.upf
Tl 204.38 Tl.upf
In 114.82 In.upf
Cl 35.45 Cl.upf
ATOMIC_POSITIONS crystal
Sm 0.000 0.000 0.000
Tl 0.250 0.250 0.250
Tl 0.750 0.750 0.750
In 0.500 0.500 0.500
Cl 0.237 0.237 0.763
Cl 0.237 0.763 0.237
Cl 0.237 0.763 0.763
Cl 0.763 0.237 0.237
Cl 0.763 0.237 0.763
Cl 0.763 0.763 0.237
CELL_PARAMETERS angstrom
0.000 5.661 5.661
5.661 0.000 5.661
5.661 5.661 0.000
```


(2)
# PrTlCdSe3

Crystalline PrTlCdSe3 at its relaxed geometry (PBE-GGA, the Open Quantum Materials Database). Values from VASP.

Summary:
Total DFT energy (no corrections) ... -4.150 eV/atom
Spin magnetization ... 0.00 μB/f.u.
Energy above the most stable polymorph in this dataset ... 6 meV/atom

The structure in Quantum ESPRESSO input format:
```
&SYSTEM
  ibrav = 0, nat = 24, ntyp = 4
/
ATOMIC_SPECIES
Pr 140.91 Pr.upf
Tl 204.38 Tl.upf
Cd 112.41 Cd.upf
Se 78.96 Se.upf
ATOMIC_POSITIONS crystal
Pr 0.030 0.250 0.155
Pr 0.470 0.750 0.655
Pr 0.530 0.250 0.345
Pr 0.970 0.750 0.845
Tl 0.245 0.250 0.455
Tl 0.255 0.750 0.955
Tl 0.745 0.250 0.045
Tl 0.755 0.750 0.545
Cd 0.021 0.750 0.400
Cd 0.479 0.250 0.900
Cd 0.521 0.750 0.100
Cd 0.979 0.250 0.600
Se 0.089 0.750 0.620
Se 0.098 0.250 0.919
Se 0.151 0.750 0.242
Se 0.349 0.250 0.742
Se 0.402 0.750 0.419
Se 0.411 0.250 0.120
Se 0.589 0.750 0.880
Se 0.598 0.250 0.581
Se 0.651 0.750 0.258
Se 0.849 0.250 0.758
Se 0.902 0.750 0.081
Se 0.911 0.250 0.380
CELL_PARAMETERS angstrom
14.698 0.000 0.000
0.000 4.367 0.000
0.000 0.000 11.659
```


(3)
# PuTlSb

Crystalline PuTlSb at its relaxed geometry (PBE-GGA, the Open Quantum Materials Database). Values from VASP.

Summary:
Total DFT energy (no corrections) ... -6.858 eV/atom
Spin magnetization ... 5.89 μB/f.u.
Energy above the most stable polymorph in this dataset ... 194 meV/atom

The structure in Quantum ESPRESSO input format:
```
&SYSTEM
  ibrav = 0, nat = 3, ntyp = 3
/
ATOMIC_SPECIES
Pu 244.00 Pu.upf
Tl 204.38 Tl.upf
Sb 121.76 Sb.upf
ATOMIC_POSITIONS crystal
Pu 0.000 0.000 0.000
Tl 0.250 0.250 0.250
Sb 0.500 0.500 0.500
CELL_PARAMETERS angstrom
0.000 3.657 3.657
3.657 0.000 3.657
3.657 3.657 0.000
```


(4)
# Tc2AuO4

Crystalline Tc2AuO4 at its relaxed geometry (PBE-GGA, the Open Quantum Materials Database). Values from VASP.

Summary:
Total DFT energy (no corrections) ... -6.925 eV/atom
Spin magnetization ... 5.00 μB/f.u.

The structure in Quantum ESPRESSO input format:
```
&SYSTEM
  ibrav = 0, nat = 14, ntyp = 3
/
ATOMIC_SPECIES
Tc 98.00 Tc.upf
Au 196.97 Au.upf
O 16.00 O.upf
ATOMIC_POSITIONS crystal
Tc 0.000 0.000 0.000
Tc 0.000 0.000 0.500
Tc 0.000 0.500 0.000
Tc 0.500 0.000 0.000
Au 0.375 0.375 0.375
Au 0.625 0.625 0.625
O 0.190 0.770 0.770
O 0.230 0.230 0.230
O 0.230 0.230 0.810
O 0.230 0.810 0.230
O 0.770 0.190 0.770
O 0.770 0.770 0.190
O 0.770 0.770 0.770
O 0.810 0.230 0.230
CELL_PARAMETERS angstrom
0.000 4.468 4.468
4.468 0.000 4.468
4.468 4.468 0.000
```


(5)
# Hf4Bi2AsN

Crystalline Hf4Bi2AsN at its relaxed geometry (PBE-GGA, the Open Quantum Materials Database). Values from VASP.

Summary:
Total DFT energy (no corrections) ... -8.235 eV/atom
Spin magnetization ... 0.00 μB/f.u.

The structure in Quantum ESPRESSO input format:
```
&SYSTEM
  ibrav = 0, nat = 8, ntyp = 4
/
ATOMIC_SPECIES
Hf 178.49 Hf.upf
Bi 208.98 Bi.upf
As 74.92 As.upf
N 14.01 N.upf
ATOMIC_POSITIONS crystal
Hf 0.333 0.667 0.112
Hf 0.333 0.667 0.423
Hf 0.667 0.333 0.577
Hf 0.667 0.333 0.888
Bi 0.333 0.667 0.734
Bi 0.667 0.333 0.266
As 0.000 0.000 0.000
N 0.000 0.000 0.500
CELL_PARAMETERS angstrom
3.649 0.000 0.000
-1.825 3.160 0.000
0.000 0.000 13.905
```


(6)
# YErZn2Sn2

Crystalline YErZn2Sn2 at its relaxed geometry (PBE-GGA, the Open Quantum Materials Database). Values from VASP.

Summary:
Total DFT energy (no corrections) ... -4.177 eV/atom
Spin magnetization ... 0.00 μB/f.u.
Energy above the most stable polymorph in this dataset ... 0 meV/atom

The structure in Quantum ESPRESSO input format:
```
&SYSTEM
  ibrav = 0, nat = 12, ntyp = 4
/
ATOMIC_SPECIES
Y 88.91 Y.upf
Er 167.26 Er.upf
Zn 65.41 Zn.upf
Sn 118.71 Sn.upf
ATOMIC_POSITIONS crystal
Y 0.000 0.000 0.000
Y 0.000 0.000 0.500
Er 0.000 0.000 0.250
Er 0.000 0.000 0.750
Zn 0.333 0.667 0.161
Zn 0.333 0.667 0.339
Zn 0.667 0.333 0.661
Zn 0.667 0.333 0.839
Sn 0.333 0.667 0.614
Sn 0.333 0.667 0.886
Sn 0.667 0.333 0.114
Sn 0.667 0.333 0.386
CELL_PARAMETERS angstrom
4.493 0.000 0.000
-2.246 3.891 0.000
0.000 0.000 15.762
```


(7)
# ErCuGeSe3

Crystalline ErCuGeSe3 at its relaxed geometry (PBE-GGA, the Open Quantum Materials Database). Values from VASP.

Summary:
Total DFT energy (no corrections) ... -4.686 eV/atom
Spin magnetization ... 0.00 μB/f.u.
Energy above the most stable polymorph in this dataset ... 28 meV/atom

The structure in Quantum ESPRESSO input format:
```
&SYSTEM
  ibrav = 0, nat = 24, ntyp = 4
/
ATOMIC_SPECIES
Er 167.26 Er.upf
Cu 63.55 Cu.upf
Ge 72.64 Ge.upf
Se 78.96 Se.upf
ATOMIC_POSITIONS crystal
Er 0.016 0.250 0.185
Er 0.484 0.750 0.685
Er 0.516 0.250 0.315
Er 0.984 0.750 0.815
Cu 0.245 0.750 0.294
Cu 0.255 0.250 0.794
Cu 0.745 0.750 0.206
Cu 0.755 0.250 0.706
Ge 0.166 0.250 0.508
Ge 0.334 0.750 0.008
Ge 0.666 0.250 0.992
Ge 0.834 0.750 0.492
Se 0.042 0.750 0.371
Se 0.099 0.250 0.936
Se 0.222 0.750 0.677
Se 0.278 0.250 0.177
Se 0.401 0.750 0.436
Se 0.458 0.250 0.871
Se 0.542 0.750 0.129
Se 0.599 0.250 0.564
Se 0.722 0.750 0.823
Se 0.778 0.250 0.323
Se 0.901 0.750 0.064
Se 0.958 0.250 0.629
CELL_PARAMETERS angstrom
11.210 0.000 0.000
0.000 4.088 0.000
0.000 0.000 11.532
```


(8)
# LaErS2F2

Crystalline LaErS2F2 at its relaxed geometry (PBE-GGA, the Open Quantum Materials Database). Values from VASP.

Summary:
Total DFT energy (no corrections) ... -6.593 eV/atom
Spin magnetization ... 0.00 μB/f.u.

The structure in Quantum ESPRESSO input format:
```
&SYSTEM
  ibrav = 0, nat = 6, ntyp = 4
/
ATOMIC_SPECIES
La 138.91 La.upf
Er 167.26 Er.upf
S 32.06 S.upf
F 19.00 F.upf
ATOMIC_POSITIONS crystal
La 0.000 0.000 0.000
Er 0.500 0.500 0.461
S 0.000 0.000 0.575
S 0.500 0.500 0.862
F 0.000 0.500 0.239
F 0.500 0.000 0.239
CELL_PARAMETERS angstrom
3.855 0.000 0.000
0.000 3.855 0.000
0.000 0.000 6.880
```


(9)
# Sc2GaCu2

Crystalline Sc2GaCu2 at its relaxed geometry (PBE-GGA, the Open Quantum Materials Database). Values from VASP.

Summary:
Total DFT energy (no corrections) ... -4.576 eV/atom
Spin magnetization ... 0.00 μB/f.u.

The structure in Quantum ESPRESSO input format:
```
&SYSTEM
  ibrav = 0, nat = 5, ntyp = 3
/
ATOMIC_SPECIES
Sc 44.96 Sc.upf
Ga 69.72 Ga.upf
Cu 63.55 Cu.upf
ATOMIC_POSITIONS crystal
Sc 0.250 0.750 0.500
Sc 0.750 0.250 0.500
Ga 0.000 0.000 0.000
Cu 0.389 0.389 0.000
Cu 0.611 0.611 0.000
CELL_PARAMETERS angstrom
-2.192 2.192 4.976
2.192 -2.192 4.976
2.192 2.192 -4.976
```


(10)
# Tb2As2IrOsO2

Crystalline Tb2As2IrOsO2 at its relaxed geometry (PBE-GGA, the Open Quantum Materials Database). Values from VASP.

Summary:
Total DFT energy (no corrections) ... -7.857 eV/atom
Spin magnetization ... 0.01 μB/f.u.

The structure in Quantum ESPRESSO input format:
```
&SYSTEM
  ibrav = 0, nat = 8, ntyp = 5
/
ATOMIC_SPECIES
Tb 158.93 Tb.upf
As 74.92 As.upf
Ir 192.22 Ir.upf
Os 190.23 Os.upf
O 16.00 O.upf
ATOMIC_POSITIONS crystal
Tb 0.000 0.500 0.131
Tb 0.500 0.000 0.869
As 0.000 0.500 0.672
As 0.500 0.000 0.328
Ir 0.000 0.000 0.500
Os 0.500 0.500 0.500
O 0.000 0.000 0.000
O 0.500 0.500 0.000
CELL_PARAMETERS angstrom
4.067 0.000 0.000
0.000 4.067 0.000
0.000 0.000 7.974
```


(11)
# Zr6HgAu

Crystalline Zr6HgAu at its relaxed geometry (PBE-GGA, the Open Quantum Materials Database). Values from VASP.

Summary:
Total DFT energy (no corrections) ... -7.113 eV/atom
Spin magnetization ... 0.01 μB/f.u.
Formation energy ... -0.257 eV/atom

The structure in Quantum ESPRESSO input format:
```
&SYSTEM
  ibrav = 0, nat = 8, ntyp = 3
/
ATOMIC_SPECIES
Zr 91.22 Zr.upf
Hg 200.59 Hg.upf
Au 196.97 Au.upf
ATOMIC_POSITIONS crystal
Zr 0.000 0.248 0.500
Zr 0.000 0.752 0.500
Zr 0.248 0.500 0.000
Zr 0.500 0.000 0.248
Zr 0.500 0.000 0.752
Zr 0.752 0.500 0.000
Hg 0.500 0.500 0.500
Au 0.000 0.000 0.000
CELL_PARAMETERS angstrom
5.550 0.000 0.000
0.000 5.550 0.000
0.000 0.000 5.550
```


(12)
# SnPd15

Crystalline SnPd15 at its relaxed geometry (PBE-GGA, the Open Quantum Materials Database). Values from VASP.

Summary:
Total DFT energy (no corrections) ... -5.118 eV/atom
Energy above the most stable polymorph in this dataset ... 40 meV/atom

The structure in Quantum ESPRESSO input format:
```
&SYSTEM
  ibrav = 0, nat = 32, ntyp = 2
/
ATOMIC_SPECIES
Sn 118.71 Sn.upf
Pd 106.42 Pd.upf
ATOMIC_POSITIONS crystal
Sn 0.000 0.000 0.000
Sn 0.250 0.500 0.735
Pd 0.000 0.000 0.099
Pd 0.000 0.000 0.197
Pd 0.000 0.000 0.294
Pd 0.000 0.000 0.392
Pd 0.000 0.000 0.489
Pd 0.001 0.000 0.586
Pd 0.249 0.500 0.149
Pd 0.250 0.500 0.246
Pd 0.250 0.500 0.343
Pd 0.250 0.500 0.440
Pd 0.250 0.500 0.537
Pd 0.250 0.500 0.635
Pd 0.251 0.500 0.050
Pd 0.499 0.000 0.586
Pd 0.500 0.000 0.100
Pd 0.500 0.000 0.197
Pd 0.500 0.000 0.294
Pd 0.500 0.000 0.392
Pd 0.500 0.000 0.489
Pd 0.500 0.000 0.999
Pd 0.501 0.000 0.685
Pd 0.749 0.500 0.050
Pd 0.750 0.500 0.246
Pd 0.750 0.500 0.343
Pd 0.750 0.500 0.440
Pd 0.750 0.500 0.538
Pd 0.750 0.500 0.635
Pd 0.750 0.500 0.736
Pd 0.751 0.500 0.149
Pd 0.999 0.000 0.685
CELL_PARAMETERS angstrom
5.509 0.000 0.000
0.000 2.810 0.000
-0.004 0.000 40.419
```


> Which value of total DFT energy (no corrections) does entry 4 give?

-6.925 eV/atom